No. 1
18
Lattice="6.2985 0.0000 0.0000 0.0000 6.2985 0.0000 0.0000 0.0000 11.6422" Properties=species:S:1:pos:R:3 comment="Hf2GaSe6 (GGA-PBE, optimized geometry)" mass_density_g_cm3=6.5 raw_formation_energy_ev_per_atom=-0.83 space_group="P4_2/mnm (136)" pbc="T T T"
Se 1.9146 1.9146 1.9391
Se 5.0638 1.2346 7.7602
Se 1.8696 1.8696 5.8211
Se 1.2346 5.0638 7.7602
Se 5.0188 1.2797 0.0000
Se 4.3838 4.3838 9.7031
Se 1.9146 1.9146 9.7031
Se 1.2797 5.0188 0.0000
Se 5.0638 1.2346 3.8820
Se 4.3838 4.3838 1.9391
Se 1.2346 5.0638 3.8820
Se 4.4289 4.4289 5.8211
Ga 3.1492 3.1492 0.0000
Ga 0.0000 0.0000 5.8211
Hf 0.0000 0.0000 9.7682
Hf 0.0000 0.0000 1.8740
Hf 3.1492 3.1492 3.9471
Hf 3.1492 3.1492 7.6951

=====

No. 2
12
Lattice="6.1380 -0.0028 0.0071 -3.0699 5.3152 0.0071 -1.0431 -1.8062 11.4744" Properties=species:S:1:pos:R:3 comment="Pm3Ho6Er2Mg (GGA-PBE, optimized geometry)" delta_e_f_ev_per_atom=0.034 mass_density_g_cm3=7.9 space_group="C2/m (12)" pbc="T T T"
Pm 1.0125 1.7531 5.7444
Pm -2.0670 3.5316 5.7444
Pm 4.0920 -0.0254 5.7444
Ho -1.0291 1.7562 2.8115
Ho 3.0540 1.7499 8.6772
Ho 2.0355 -0.0136 2.8115
Ho -0.0136 -0.0236 8.6621
Ho 2.0386 3.5298 2.8266
Ho -0.0105 3.5198 8.6772
Mg 0.0000 0.0000 0.0000
Er 0.0032 3.5403 0.0071
Er 3.0649 1.7721 0.0071

=====

No. 3
4
Lattice="3.3252 0.0000 0.0000 1.6626 2.8797 0.0000 1.6626 0.9599 11.6364" Properties=species:S:1:pos:R:3 comment="Pm2TiIn (GGA-PBE, optimized geometry)" delta_e_f_ev_per_atom=0.308 mass_density_g_cm3=6.7 space_group="R-3m (166)" de_polymorph_mev_per_atom=380 pbc="T T T"
Pm 1.6626 0.9599 8.6258
Pm 4.9878 2.8797 3.0107
Ti 0.0000 0.0000 0.0000
In 3.3252 1.9198 5.8182

=====

No. 4
8
Lattice="4.9333 0.0000 0.0000 0.0000 4.9333 0.0000 2.4667 2.4667 4.7503" Properties=species:S:1:pos:R:3 comment="ZnB2Ir (GGA-PBE, optimized geometry)" delta_e_f_ev_per_atom=0.530 mass_density_g_cm3=8.0 space_group="I-42d (122)" pbc="T T T"
Zn 2.4667 4.9333 2.3752
Zn 2.4667 2.4667 0.0000
B 6.1666 6.3661 3.5628
B 1.0338 3.7000 1.1876
B 3.7000 3.5005 3.5628
B 3.8995 1.2333 1.1876
Ir 0.0000 0.0000 0.0000
Ir 4.9333 2.4667 2.3752

=====

No. 5
4
Lattice="1.8556 6.8023 0.0576 -1.8556 6.8023 0.0576 0.0000 1.1209 3.8520" Properties=species:S:1:pos:R:3 comment="InPSe2 (GGA-PBE, optimized geometry)" mass_density_g_cm3=5.2 raw_formation_energy_ev_per_atom=0.17 space_group="C2/m (12)" de_polymorph_mev_per_atom=255 pbc="T T T"
P 0.0000 6.8023 0.0576
Se 0.0000 11.3979 1.4075
Se 0.0000 3.3275 2.5596
In 0.0000 0.5604 1.9260

=====

No. 6
8
Lattice="-1.6101 3.5929 1.4729 -3.1864 1.2296 -6.4826 -4.6090 -3.8109 4.2579" Properties=species:S:1:pos:R:3 comment="NaPm2PrSe4 (GGA-PBE, optimized geometry)" mass_density_g_cm3=6.0 raw_formation_energy_ev_per_atom=-1.77 space_group="P2/m (10)" pbc="T T T"
Se -3.5626 -0.0457 -3.7830
Se -4.2328 -2.5357 1.5583
Se -6.6242 -0.1349 -0.9136
Se -2.7813 1.1465 0.1617
Na -2.3983 2.4112 -2.5048
Pm -3.8977 -1.2907 -1.1124
Pm -3.1095 -0.1090 2.8654
Pr 0.0000 0.0000 0.0000